No. 1
The following is a DFT calculation (PBE-GGA) of a relaxed structure of SrRePb2.

Output
* excess energy over the best structure of this formula in the dataset: 452 meV per atom
* crystal system: cubic
* space-group type: F-43m (216)
* calculated total energy: -4.5298 eV per atom
* theoretical density: 10.7 Mg/m³

a b c (Å): 7.534 7.534 7.534
angles (deg): 90.00 90.00 90.00
Atoms (fractional coordinates):
Sr: 0.000 0.000 0.000
Sr: 0.000 0.500 0.500
Sr: 0.500 0.000 0.500
Sr: 0.500 0.500 0.000
Re: 0.250 0.250 0.250
Re: 0.250 0.750 0.750
Re: 0.750 0.250 0.750
Re: 0.750 0.750 0.250
Pb: 0.000 0.000 0.500
Pb: 0.000 0.500 0.000
Pb: 0.250 0.250 0.750
Pb: 0.250 0.750 0.250
Pb: 0.500 0.000 0.000
Pb: 0.500 0.500 0.500
Pb: 0.750 0.250 0.250
Pb: 0.750 0.750 0.750



No. 2
The following is a DFT calculation (PBE-GGA) of a relaxed structure of SrRePb4.

Output
* crystal system: cubic
* space-group type: F-43m (216)
* calculated total energy: -4.0574 eV per atom
* theoretical density: 9.7 Mg/m³

a b c (Å): 6.432 6.432 6.432
angles (deg): 60.00 60.00 60.00
Atoms (fractional coordinates):
Sr: 0.000 0.000 0.000
Re: 0.250 0.250 0.250
Pb: 0.126 0.625 0.625
Pb: 0.625 0.126 0.625
Pb: 0.625 0.625 0.126
Pb: 0.625 0.625 0.625



No. 3
The following is a DFT calculation (PBE-GGA) of a relaxed structure of SrRePb2.

Output
* excess energy over the best structure of this formula in the dataset: 149 meV per atom
* crystal system: trigonal
* space-group type: R-3m (166)
* calculated total energy: -4.8327 eV per atom
* theoretical density: 10.4 Mg/m³

a b c (Å): 3.755 3.755 26.888
angles (deg): 90.00 90.00 120.00
Atoms (fractional coordinates):
Sr: 0.000 0.000 0.000
Sr: 0.333 0.667 0.667
Sr: 0.667 0.333 0.333
Re: 0.000 0.000 0.500
Re: 0.333 0.667 0.167
Re: 0.667 0.333 0.833
Pb: 0.000 0.000 0.235
Pb: 0.000 0.000 0.765
Pb: 0.333 0.667 0.431
Pb: 0.333 0.667 0.902
Pb: 0.667 0.333 0.098
Pb: 0.667 0.333 0.569



no.,spin magnetization (Bohr magnetons per cell)
1,7.91
2,3.55
3,0.00